No. 1
Computed, not measured: AlPd3Pt4 after structural relaxation at the PBE-GGA level of DFT.

a b c (Å): 3.9244 3.9244 15.8147
angles (deg): 90.00 90.00 90.00
Space group I4/mmm (No. 139)
Inequivalent atoms, fractional coordinates:
Al1 0.0000 0.0000 0.0000 (multiplicity 2)
Pd1 0.0000 0.0000 0.2524 (multiplicity 4)
Pd2 0.0000 0.0000 0.5000 (multiplicity 2)
Pt1 0.0000 0.5000 0.1205 (multiplicity 8)

## Properties
Relative energy among the computed polymorphs   0 meV per atom
Fermi-level density of states   18.4 states/eV/cell
Formation energy   -0.37 eV/atom

---

No. 2
Computed, not measured: LaCe4Sb5 after structural relaxation at the PBE-GGA level of DFT.

a b c (Å): 4.5287 6.4072 22.6540
angles (deg): 90.00 90.00 90.00
Space group Immm (No. 71)
Inequivalent atoms, fractional coordinates:
La1 0.0000 0.0000 0.0000 (multiplicity 2)
Ce1 0.0000 0.0000 0.2010 (multiplicity 4)
Ce2 0.0000 0.0000 0.3999 (multiplicity 4)
Sb1 0.0000 0.5000 0.0000 (multiplicity 2)
Sb2 0.0000 0.5000 0.1996 (multiplicity 4)
Sb3 0.0000 0.5000 0.3971 (multiplicity 4)

## Properties
Fermi-level density of states   51.2 states/eV/cell
E_form (uncorrected)   -1.0864 eV per atom

---

No. 3
Computed, not measured: Cs2Rb2Bi after structural relaxation at the PBE-GGA level of DFT.

a b c (Å): 9.8386 9.8386 7.2158
angles (deg): 90.00 90.00 90.00
Space group P4/mbm (No. 127)
Inequivalent atoms, fractional coordinates:
Cs1 0.1428 0.3572 0.0000 (multiplicity 4)
Rb1 0.2017 0.7017 0.5000 (multiplicity 4)
Bi1 0.0000 0.0000 0.0000 (multiplicity 2)

## Properties
Relative energy among the computed polymorphs   66 meV per atom
Fermi-level density of states   8.3 states/eV/cell
Formation energy   -0.05 eV/atom

---

No. 4
Computed, not measured: Ba3Sn3Pb8 after structural relaxation at the PBE-GGA level of DFT.

a b c (Å): 5.4916 11.9004 15.0353
angles (deg): 90.00 90.00 90.00
Space group Immm (No. 71)
Inequivalent atoms, fractional coordinates:
Ba1 0.0000 0.0000 0.0000 (multiplicity 2)
Ba2 0.0000 0.0000 0.3062 (multiplicity 4)
Sn1 0.0000 0.1822 0.5000 (multiplicity 4)
Sn2 0.0000 0.5000 0.0000 (multiplicity 2)
Pb1 0.0000 0.2808 0.1403 (multiplicity 8)
Pb2 0.0000 0.3643 0.3505 (multiplicity 8)

## Properties
Fermi-level density of states   12.8 states/eV/cell
Formation energy   -0.29 eV/atom

---

No. 5
Computed, not measured: ZnCdO2 after structural relaxation at the PBE-GGA level of DFT.

a b c (Å): 3.1483 5.6108 6.0766
angles (deg): 87.14 88.52 73.78
Space group P1 (No. 1)
Inequivalent atoms, fractional coordinates:
Zn1 0.0000 0.0000 0.0000 (multiplicity 1)
Zn2 0.2439 0.4624 0.7286 (multiplicity 1)
Cd1 0.4946 0.9790 0.5138 (multiplicity 1)
Cd2 0.7554 0.5043 0.2084 (multiplicity 1)
O1 0.1194 0.8025 0.2894 (multiplicity 1)
O2 0.3495 0.2525 0.0216 (multiplicity 1)
O3 0.8036 0.3127 0.5564 (multiplicity 1)
O4 0.8144 0.7682 0.8178 (multiplicity 1)

## Properties
Fermi-level density of states   0.0 states/eV/cell
E_form (uncorrected)   -1.1244 eV per atom

---

No. 6
Computed, not measured: Ba7Au4Cl after structural relaxation at the PBE-GGA level of DFT.

a b c (Å): 15.5795 4.6064 14.3274
angles (deg): 90.00 104.65 90.00
Space group Cm (No. 8)
Inequivalent atoms, fractional coordinates:
Ba1 0.0000 0.0000 0.0000 (multiplicity 2)
Ba2 0.0135 0.5000 0.2988 (multiplicity 2)
Ba3 0.1053 0.5000 0.5970 (multiplicity 2)
Ba4 0.2236 0.0000 0.8645 (multiplicity 2)
Ba5 0.2623 0.5000 0.1430 (multiplicity 2)
Ba6 0.2933 0.0000 0.4313 (multiplicity 2)
Ba7 0.4158 0.5000 0.6934 (multiplicity 2)
Au1 0.0595 0.5000 0.8357 (multiplicity 2)
Au2 0.2614 0.0000 0.6482 (multiplicity 2)
Au3 0.3811 0.0000 0.0761 (multiplicity 2)
Au4 0.4565 0.5000 0.4568 (multiplicity 2)
Cl1 0.1381 0.0000 0.2206 (multiplicity 2)

## Properties
Fermi-level density of states   16.4 states/eV/cell
E_form (uncorrected)   -0.7956 eV per atom

---

No. 7
Computed, not measured: Li2CaZn2 after structural relaxation at the PBE-GGA level of DFT.

a b c (Å): 7.8095 7.8095 3.3710
angles (deg): 90.00 90.00 90.00
Space group P4/mbm (No. 127)
Inequivalent atoms, fractional coordinates:
Li1 0.1666 0.3334 0.0000 (multiplicity 4)
Ca1 0.0000 0.0000 0.5000 (multiplicity 2)
Zn1 0.1193 0.6193 0.5000 (multiplicity 4)

## Properties
Relative energy among the computed polymorphs   81 meV per atom
Fermi-level density of states   4.1 states/eV/cell
Formation energy   -0.08 eV/atom

---

No. 8
Computed, not measured: Er6Tm2Pu after structural relaxation at the PBE-GGA level of DFT.

a b c (Å): 6.0379 6.0399 7.7706
angles (deg): 82.59 74.96 80.31
Space group P-1 (No. 2)
Inequivalent atoms, fractional coordinates:
Er1 0.0561 0.1108 0.2819 (multiplicity 2)
Er2 0.1669 0.3283 0.8321 (multiplicity 2)
Er3 0.3906 0.7794 0.9390 (multiplicity 2)
Tm1 0.2837 0.5543 0.3899 (multiplicity 2)
Pu1 0.5000 0.0000 0.5000 (multiplicity 1)

## Properties
Fermi-level density of states   17.5 states/eV/cell
Formation energy   0.04 eV/atom